*a*
The following is a DFT calculation (GGA-PBE) of crystalline SiP2Ir2 at its relaxed geometry.

SG ... P4/mbm

```
SiP2Ir2
1.0
7.209 0.000 0.000
0.000 7.209 0.000
0.000 0.000 2.809
Si P Ir
2 4 4
Direct
0.000 0.000 0.000 Si
0.500 0.500 0.000 Si
0.152 0.348 0.500 P
0.348 0.848 0.500 P
0.652 0.152 0.500 P
0.848 0.652 0.500 P
0.141 0.641 0.000 Ir
0.359 0.141 0.000 Ir
0.641 0.859 0.000 Ir
0.859 0.359 0.000 Ir
```

***

*b*
The following is a DFT calculation (GGA-PBE) of crystalline SiP2Ir2 at its relaxed geometry.

SG ... P4/nmm

```
SiP2Ir2
1.0
4.031 0.000 0.000
0.000 4.031 0.000
0.000 0.000 9.967
Si P Ir
2 4 4
Direct
0.250 0.250 0.191 Si
0.750 0.750 0.809 Si
0.250 0.250 0.856 P
0.250 0.750 0.500 P
0.750 0.250 0.500 P
0.750 0.750 0.144 P
0.250 0.250 0.619 Ir
0.250 0.750 0.000 Ir
0.750 0.250 0.000 Ir
0.750 0.750 0.381 Ir
```

***

Going by the energies, *b* is most stable and the next is 146 meV/atom up.

***

*a*
The following is a DFT calculation (GGA-PBE) of crystalline SiP2Ir at its relaxed geometry.

SG ... Cm

```
SiP2Ir
1.0
3.225 -1.532 0.000
3.225 1.532 0.000
-2.947 0.000 6.262
Si P Ir
1 2 1
Direct
0.000 0.000 0.000 Si
0.204 0.204 0.794 P
0.517 0.517 0.515 P
0.714 0.714 0.307 Ir
```

***

*b*
The following is a DFT calculation (GGA-PBE) of crystalline SiP2Ir at its relaxed geometry.

SG ... P4/mmm

```
SiP2Ir
1.0
3.639 0.000 0.000
0.000 3.639 0.000
0.000 0.000 4.391
Si P Ir
1 2 1
Direct
0.000 0.000 0.000 Si
0.000 0.500 0.500 P
0.500 0.000 0.500 P
0.500 0.500 0.000 Ir
```

***

*c*
The following is a DFT calculation (GGA-PBE) of crystalline SiP2Ir at its relaxed geometry.

SG ... Amm2

```
SiP2Ir
1.0
2.807 0.000 0.000
0.000 2.330 4.703
0.000 -2.330 4.703
Si P Ir
1 2 1
Direct
0.000 0.000 0.000 Si
0.000 0.427 0.427 P
0.500 0.778 0.778 P
0.500 0.223 0.223 Ir
```

***

*d*
The following is a DFT calculation (GGA-PBE) of crystalline SiP2Ir at its relaxed geometry.

SG ... Cmm2

```
SiP2Ir
1.0
1.375 -2.423 0.000
1.375 2.423 0.000
0.000 0.000 9.239
Si P Ir
1 2 1
Direct
0.000 0.000 0.000 Si
0.000 0.000 0.448 P
0.500 0.500 0.768 P
0.500 0.500 0.231 Ir
```

***

Going by the energies, *c* is most stable and the next is 80 meV/atom up.

***

*a*
The following is a DFT calculation (GGA-PBE) of crystalline SiP2Ir at its relaxed geometry.

SG ... Fm-3m

```
SiP2Ir
1.0
0.000 3.047 3.047
3.047 0.000 3.047
3.047 3.047 0.000
Si P Ir
1 2 1
Direct
0.000 0.000 0.000 Si
0.250 0.250 0.250 P
0.750 0.750 0.750 P
0.500 0.500 0.500 Ir
```

***

*b*
The following is a DFT calculation (GGA-PBE) of crystalline SiP2Ir at its relaxed geometry.

SG ... Pmm2

```
SiP2Ir
1.0
2.883 0.000 0.000
0.000 3.250 0.000
0.000 0.000 6.767
Si P Ir
1 2 1
Direct
0.000 0.000 0.000 Si
0.000 0.000 0.429 P
0.500 0.500 0.838 P
0.500 0.500 0.231 Ir
```

***

Going by the energies, *b* is most stable and the next is 164 meV/atom up.

***

*a*
The following is a DFT calculation (GGA-PBE) of crystalline SiP2Ir at its relaxed geometry.

SG ... I4/mmm

```
SiP2Ir
1.0
-2.441 2.441 2.497
2.441 -2.441 2.497
2.441 2.441 -2.497
Si P Ir
1 2 1
Direct
0.000 0.000 0.000 Si
0.000 0.500 0.500 P
0.500 0.000 0.500 P
0.500 0.500 0.000 Ir
```

***

*b*
The following is a DFT calculation (GGA-PBE) of crystalline SiP2Ir at its relaxed geometry.

SG ... I-42d

```
SiP2Ir
1.0
-2.626 2.626 5.296
2.626 -2.626 5.296
2.626 2.626 -5.296
Si P Ir
2 4 2
Direct
0.000 0.000 0.000 Si
0.750 0.250 0.500 Si
0.126 0.625 0.001 P
0.375 0.376 0.501 P
0.624 0.125 0.999 P
0.875 0.874 0.499 P
0.250 0.750 0.500 Ir
0.500 0.500 0.000 Ir
```

***

*c*
The following is a DFT calculation (GGA-PBE) of crystalline SiP2Ir at its relaxed geometry.

SG ... P2/m

```
SiP2Ir
1.0
4.249 0.000 0.000
0.000 3.846 0.000
-1.770 0.000 3.979
Si P Ir
1 2 1
Direct
0.000 0.000 0.000 Si
0.285 0.500 0.684 P
0.715 0.500 0.316 P
0.500 0.000 0.500 Ir
```

***

*d*
The following is a DFT calculation (GGA-PBE) of crystalline SiP2Ir at its relaxed geometry.

SG ... Immm

```
SiP2Ir
1.0
-1.694 1.846 5.492
1.694 -1.846 5.492
1.694 1.846 -5.492
Si P Ir
1 2 1
Direct
0.000 0.000 0.000 Si
0.154 0.654 0.500 P
0.846 0.346 0.500 P
0.500 0.500 0.000 Ir
```

***

Going by the energies, *b* is most stable and the next is 151 meV/atom up.

***

*a*
The following is a DFT calculation (GGA-PBE) of crystalline SiP2Ir at its relaxed geometry.

SG ... Cmmm

```
SiP2Ir
1.0
2.763 -3.389 0.000
2.763 3.389 0.000
0.000 0.000 2.990
Si P Ir
1 2 1
Direct
0.000 0.000 0.000 Si
0.000 0.500 0.500 P
0.500 0.000 0.500 P
0.500 0.500 0.000 Ir
```

***

*b*
The following is a DFT calculation (GGA-PBE) of crystalline SiP2Ir at its relaxed geometry.

SG ... C2/m

```
SiP2Ir
1.0
3.163 -1.735 0.000
3.163 1.735 0.000
-2.011 0.000 5.528
Si P Ir
1 2 1
Direct
0.000 0.000 0.000 Si
0.251 0.251 0.738 P
0.749 0.749 0.262 P
0.500 0.500 0.500 Ir
```

***

Going by the energies, *b* is most stable and the next is 339 meV/atom up.

***

*a*
The following is a DFT calculation (GGA-PBE) of crystalline Si3PIr at its relaxed geometry.

SG ... Pm-3m

```
Si3PIr
1.0
4.613 0.000 0.000
0.000 4.613 0.000
0.000 0.000 4.613
Si P Ir
3 1 1
Direct
0.000 0.000 0.500 Si
0.000 0.500 0.000 Si
0.500 0.000 0.000 Si
0.500 0.500 0.500 P
0.000 0.000 0.000 Ir
```

***

*b*
The following is a DFT calculation (GGA-PBE) of crystalline Si3PIr at its relaxed geometry.

SG ... Pm-3m

```
Si3PIr
1.0
4.350 0.000 0.000
0.000 4.350 0.000
0.000 0.000 4.350
Si P Ir
3 1 1
Direct
0.000 0.000 0.500 Si
0.000 0.500 0.000 Si
0.500 0.000 0.000 Si
0.000 0.000 0.000 P
0.500 0.500 0.500 Ir
```

***

Going by the energies, *a* is most stable and the next is 476 meV/atom up.

***

*a*
The following is a DFT calculation (GGA-PBE) of crystalline SnPIr2 at its relaxed geometry.

SG ... Fm-3m

```
SnPIr2
1.0
0.000 3.176 3.176
3.176 0.000 3.176
3.176 3.176 0.000
Sn P Ir
1 1 2
Direct
0.000 0.000 0.000 Sn
0.500 0.500 0.500 P
0.250 0.250 0.250 Ir
0.750 0.750 0.750 Ir
```

***

*b*
The following is a DFT calculation (GGA-PBE) of crystalline SnPIr2 at its relaxed geometry.

SG ... I-42d

```
SnPIr2
1.0
-2.814 2.814 5.493
2.814 -2.814 5.493
2.814 2.814 -5.493
Sn P Ir
2 2 4
Direct
0.000 0.000 0.000 Sn
0.750 0.250 0.500 Sn
0.250 0.750 0.500 P
0.500 0.500 0.000 P
0.183 0.625 0.058 Ir
0.375 0.433 0.558 Ir
0.567 0.125 0.942 Ir
0.875 0.817 0.442 Ir
```

***

Going by the energies, *b* is most stable and the next is 334 meV/atom up.

***

*a*
The following is a DFT calculation (GGA-PBE) of crystalline TlSnPIr2 at its relaxed geometry.

SG ... P4/mmm

```
TlSnPIr2
1.0
5.069 0.000 0.000
0.000 5.069 0.000
0.000 0.000 4.878
Tl Sn P Ir
1 1 1 2
Direct
0.000 0.000 0.000 Tl
0.500 0.500 0.500 Sn
0.000 0.000 0.500 P
0.000 0.500 0.000 Ir
0.500 0.000 0.000 Ir
```

***

*b*
The following is a DFT calculation (GGA-PBE) of crystalline TlSnPIr2 at its relaxed geometry.

SG ... P4/mmm

```
TlSnPIr2
1.0
4.434 0.000 0.000
0.000 4.434 0.000
0.000 0.000 5.646
Tl Sn P Ir
1 1 1 2
Direct
0.000 0.000 0.000 Tl
0.500 0.500 0.000 Sn
0.500 0.500 0.500 P
0.000 0.500 0.500 Ir
0.500 0.000 0.500 Ir
```

***

Going by the energies, *b* is most stable and the next is 1272 meV/atom up.